Density functional theory data (PBE with a Hubbard U) for a geometry-optimized WF structure.

a = 8.2526 Å, b = 8.2526 Å, c = 8.2526 Å
α = 90.00°, β = 90.00°, γ = 90.00°
Last column: nearest neighbours and their distance in Å.
Space group I-43m (No. 217)
Symmetry-distinct sites (fractional):
W  0.1082  0.1082  0.8918 x8  1 F 2.00
F  0.2483  0.2483  0.7517 x8  1 W 2.00

energy	-4.40	eV/atom